# TlCuHPd2, relaxed, DFT PBE
# D(E_F) ... 2.0 states/eV per cell
# Crystal system ... tetragonal
# Symmetry ... P4/mmm (123)
# V ... 13.59 Å³/atom
# E ... -4.13 eV/atom
# Offset from the most stable computed form ... 0 meV/atom
data_TlCuHPd2
_cell_length_a 4.088
_cell_length_b 4.088
_cell_length_c 4.067
_cell_angle_alpha 90.00
_cell_angle_beta 90.00
_cell_angle_gamma 90.00
_space_group_name_H-M_alt 'P 1'
_space_group_IT_number 1
loop_
_space_group_symop_operation_xyz
'x,y,z'
loop_
_atom_site_label
_atom_site_fract_x
_atom_site_fract_y
_atom_site_fract_z
H1 0.000 0.000 0.000
Tl1 0.500 0.500 0.500
Cu1 0.000 0.000 0.500
Pd1 0.000 0.500 0.000
Pd2 0.500 0.000 0.000